(1)
Below is crystalline TbDy5Er2Sc at its relaxed geometry, with properties calculated at the PBE level.

Unit cell a=5.5143 b=10.2612 c=10.3334 alpha=90.00 beta=90.00 gamma=105.59
Element x y z (fractional)
Dy1 0.7239 0.4477 0.8202
Dy2 0.9825 0.9650 0.5174
Dy3 0.4819 0.9638 0.7400
Dy4 0.2761 0.5523 0.3202
Dy5 0.5181 0.0362 0.2400
Dy6 0.6223 0.2445 0.5210
Dy7 0.0175 0.0350 0.0174
Dy8 0.3777 0.7555 0.0210
Dy9 0.2998 0.5996 0.7055
Dy10 0.7002 0.4004 0.2055
Er1 0.1115 0.2229 0.3119
Er2 0.8885 0.7771 0.8119
Er3 0.8861 0.7722 0.2374
Er4 0.1139 0.2278 0.7374
Tb1 0.5901 0.1802 0.9558
Tb2 0.4099 0.8198 0.4558
Sc1 0.8046 0.6093 0.5149
Sc2 0.1954 0.3907 0.0149

Calculated formation energy ... 169 meV per atom
Theoretical density ... 7.97 Mg/m³
Raw total energy ... -4.62 eV per atom

---

(2)
Below is crystalline TbDyEr4Sc2 at its relaxed geometry, with properties calculated at the PBE level.

Unit cell a=9.2450 b=9.2454 c=11.4486 alpha=128.26 beta=128.26 gamma=88.67
Each line ends with the local moment (μB).
Element x y z (fractional)
Er1 0.7340 0.2545 0.9944  0.34
Er2 0.2454 0.7660 0.5057  0.34
Er3 0.7405 0.7584 0.0107  0.34
Er4 0.2583 0.2406 0.5108  0.34
Er5 0.7417 0.7594 0.4892  0.34
Er6 0.7546 0.2340 0.4943  0.34
Er7 0.2595 0.2416 0.9893  0.34
Er8 0.2660 0.7455 0.0056  0.34
Sc1 0.0000 0.0000 0.5000  0.37
Sc2 0.5000 0.0000 0.5000  0.38
Sc3 0.5000 0.0000 0.0000  0.38
Sc4 0.5000 0.5000 0.0000  0.37
Tb1 0.5000 0.5000 0.5000  0.30
Tb2 0.0000 0.0000 0.0000  0.30
Dy1 0.0000 0.5000 0.0000  0.34
Dy2 0.0000 0.5000 0.5000  0.34

Calculated formation energy ... 451 meV per atom
Theoretical density ... 7.33 Mg/m³
Raw total energy ... -4.57 eV per atom

---

(3)
Below is crystalline Tb6DyEr2Sc at its relaxed geometry, with properties calculated at the PBE level.

Unit cell a=9.3769 b=8.6927 c=8.6927 alpha=117.31 beta=93.68 gamma=93.68
Element x y z (fractional)
Tb1 0.6896 0.0046 0.5629
Tb2 0.9458 0.8753 0.2439
Tb3 0.1161 0.7081 0.4923
Tb4 0.8839 0.2919 0.5077
Tb5 0.6161 0.4923 0.7081
Tb6 0.4458 0.2439 0.8753
Tb7 0.0542 0.1247 0.7561
Tb8 0.3839 0.5077 0.2919
Tb9 0.3104 0.9954 0.4371
Tb10 0.5542 0.7561 0.1247
Tb11 0.8104 0.4371 0.9954
Tb12 0.1896 0.5629 0.0046
Er1 0.0471 0.3046 0.2020
Er2 0.4529 0.7980 0.6954
Er3 0.9529 0.6954 0.7980
Er4 0.5471 0.2020 0.3046
Sc1 0.7500 0.5856 0.4144
Sc2 0.2500 0.4144 0.5856
Dy1 0.7500 0.0236 0.9764
Dy2 0.2500 0.9764 0.0236

Calculated formation energy ... 127 meV per atom
Theoretical density ... 7.95 Mg/m³
Raw total energy ... -4.66 eV per atom

---

(4)
Below is crystalline TbDy5ErSc2 at its relaxed geometry, with properties calculated at the PBE level.

Unit cell a=5.5734 b=11.0248 c=9.3131 alpha=90.00 beta=90.00 gamma=104.64
Element x y z (fractional)
Sc1 0.8653 0.7307 0.2019
Sc2 0.1134 0.2268 0.3249
Sc3 0.8866 0.7732 0.8249
Sc4 0.1347 0.2693 0.7019
Dy1 0.6938 0.3875 0.2182
Dy2 0.3062 0.6125 0.7182
Dy3 0.7347 0.4694 0.8332
Dy4 0.5315 0.0630 0.2484
Dy5 0.4685 0.9370 0.7484
Dy6 0.3918 0.7836 0.0470
Dy7 0.9886 0.9771 0.5121
Dy8 0.0114 0.0229 0.0121
Dy9 0.2653 0.5306 0.3332
Dy10 0.6082 0.2164 0.5470
Er1 0.5982 0.1964 0.9206
Er2 0.4018 0.8036 0.4206
Tb1 0.1847 0.3695 0.0177
Tb2 0.8153 0.6305 0.5177

Calculated formation energy ... 166 meV per atom
Theoretical density ... 7.37 Mg/m³
Raw total energy ... -4.82 eV per atom

---

(5)
Below is crystalline TbDyErSc at its relaxed geometry, with properties calculated at the PBE level.

Unit cell a=3.7480 b=5.5687 c=6.6250 alpha=114.85 beta=73.55 gamma=90.00
Element x y z (fractional)
Sc1 0.9202 0.6424 0.2848
Dy1 0.6526 0.4109 0.8218
Er1 0.1917 0.8719 0.7438
Tb1 0.4214 0.1395 0.2789

Calculated formation energy ... 103 meV per atom
Theoretical density ... 7.43 Mg/m³
Raw total energy ... -4.93 eV per atom

---

(6)
Below is crystalline TbDy2Er2Sc at its relaxed geometry, with properties calculated at the PBE level.

Unit cell a=5.4936 b=9.5313 c=6.8590 alpha=90.00 beta=90.00 gamma=90.00
Element x y z (fractional)
Dy1 0.0000 0.6665 0.7472
Dy2 0.0000 0.3335 0.2528
Dy3 0.5000 0.8335 0.2472
Dy4 0.5000 0.1665 0.7528
Er1 0.5000 0.1667 0.2480
Er2 0.5000 0.8333 0.7520
Er3 0.0000 0.3333 0.7480
Er4 0.0000 0.6667 0.2520
Sc1 0.5000 0.5000 0.5000
Sc2 0.0000 0.0000 0.0000
Tb1 0.5000 0.5000 0.0000
Tb2 0.0000 0.0000 0.5000

Calculated formation energy ... 98 meV per atom
Theoretical density ... 7.98 Mg/m³
Raw total energy ... -4.78 eV per atom

---

(7)
Below is crystalline TbDy2ErSc at its relaxed geometry, with properties calculated at the PBE level.

Unit cell a=7.0546 b=8.1388 c=6.9084 alpha=126.09 beta=90.00 gamma=90.00
Element x y z (fractional)
Tb1 0.2500 0.2693 0.5386
Tb2 0.7500 0.7307 0.4614
Dy1 0.0000 0.6974 0.0000
Dy2 0.5000 0.6974 0.0000
Dy3 0.5000 0.3026 0.0000
Dy4 0.0000 0.3026 0.0000
Sc1 0.7500 0.9983 0.9965
Sc2 0.2500 0.0017 0.0035
Er1 0.7500 0.2686 0.5372
Er2 0.2500 0.7314 0.4628

Calculated formation energy ... 358 meV per atom
Theoretical density ... 7.21 Mg/m³
Raw total energy ... -4.59 eV per atom

---

(8)
Below is crystalline Tb3Dy2Er6Sc at its relaxed geometry, with properties calculated at the PBE level.

Unit cell a=6.0701 b=6.0701 c=11.6165 alpha=94.99 beta=94.99 gamma=119.95
Element x y z (fractional)
Er1 0.9182 0.5872 0.7529
Er2 0.4128 0.0818 0.2471
Er3 0.5872 0.9182 0.7529
Er4 0.2493 0.2493 0.7526
Er5 0.7507 0.7507 0.2474
Er6 0.0818 0.4128 0.2471
Dy1 0.3335 0.6665 0.0000
Dy2 0.6665 0.3335 0.0000
Sc1 0.0000 0.0000 0.0000
Tb1 0.5000 0.5000 0.5000
Tb2 0.8335 0.1665 0.5000
Tb3 0.1665 0.8335 0.5000

Calculated formation energy ... 28 meV per atom
Theoretical density ... 8.41 Mg/m³
Raw total energy ... -4.71 eV per atom

---

(9)
Below is crystalline Tb6Dy3ErSc2 at its relaxed geometry, with properties calculated at the PBE level.

Unit cell a=6.0761 b=6.0761 c=11.5586 alpha=95.02 beta=95.02 gamma=119.96
Element x y z (fractional)
Tb1 0.9182 0.5825 0.7558
Tb2 0.4175 0.0818 0.2442
Tb3 0.7460 0.7460 0.2441
Tb4 0.5825 0.9182 0.7558
Tb5 0.0818 0.4175 0.2442
Tb6 0.2540 0.2540 0.7559
Dy1 0.8333 0.1667 0.5000
Dy2 0.5000 0.5000 0.5000
Dy3 0.1667 0.8333 0.5000
Er1 0.0000 0.0000 0.0000
Sc1 0.6667 0.3333 0.0000
Sc2 0.3333 0.6667 0.0000

Calculated formation energy ... 35 meV per atom
Theoretical density ... 7.75 Mg/m³
Raw total energy ... -4.87 eV per atom

---

(10)
Below is crystalline Tb2DyEr2Sc2 at its relaxed geometry, with properties calculated at the PBE level.

Unit cell a=3.4081 b=5.8760 c=11.4803 alpha=72.02 beta=90.00 gamma=106.86
Element x y z (fractional)
Tb1 0.6712 0.3424 0.9124
Tb2 0.3288 0.6576 0.0876
Dy1 0.0000 0.0000 0.5000
Sc1 0.2273 0.4546 0.6339
Sc2 0.7727 0.5454 0.3661
Er1 0.4522 0.9044 0.7685
Er2 0.5478 0.0956 0.2315

Calculated formation energy ... 108 meV per atom
Theoretical density ... 7.21 Mg/m³
Raw total energy ... -4.99 eV per atom

---

(11)
Below is crystalline TbDy2ErSc2 at its relaxed geometry, with properties calculated at the PBE level.

Unit cell a=5.4381 b=9.3833 c=6.8244 alpha=90.00 beta=90.00 gamma=90.00
Element x y z (fractional)
Sc1 0.0000 0.3330 0.7502
Sc2 0.5000 0.1670 0.2502
Sc3 0.0000 0.6670 0.2498
Sc4 0.5000 0.8330 0.7498
Dy1 0.5000 0.8335 0.2486
Dy2 0.0000 0.3335 0.2514
Dy3 0.5000 0.1665 0.7514
Dy4 0.0000 0.6665 0.7486
Tb1 0.0000 0.0000 0.5000
Tb2 0.5000 0.5000 0.0000
Er1 0.0000 0.0000 0.0000
Er2 0.5000 0.5000 0.5000

Calculated formation energy ... 73 meV per atom
Theoretical density ... 7.07 Mg/m³
Raw total energy ... -5.10 eV per atom

---

(12)
Below is crystalline Dy3Er2ScTe6 at its relaxed geometry, with properties calculated at the PBE level.

Unit cell a=4.2994 b=8.6579 c=9.6439 alpha=103.06 beta=102.88 gamma=90.00
Element x y z (fractional)
Dy1 0.8295 0.1638 0.6591
Dy2 0.1705 0.8362 0.3409
Dy3 0.5000 0.5000 0.0000
Er1 0.8335 0.6677 0.6669
Er2 0.1665 0.3323 0.3331
Te1 0.3387 0.9174 0.6773
Te2 0.6613 0.0826 0.3227
Te3 0.6672 0.5816 0.3344
Te4 0.9990 0.2403 0.9981
Te5 0.0010 0.7597 0.0019
Te6 0.3328 0.4184 0.6656
Sc1 0.5000 0.0000 0.0000

Theoretical density ... 7.96 Mg/m³
E_form (uncorrected) ... -1.224 eV per atom
Raw total energy ... -5.23 eV per atom

---

Among the records above, which one has the highest raw total energy?
TbDyEr4Sc2